Entry 1:
DFT (PBE-GGA) results for Dy4Ni2I5 after structural relaxation.

abc: 11.6847 11.6847 8.5704
angles: 93.16 93.16 19.85
Element x y z (fractional)
Dy 0.0166 0.0166 0.1961
Dy 0.3461 0.3461 0.9472
Dy 0.6539 0.6539 0.0528
Dy 0.9834 0.9834 0.8039
Ni 0.4523 0.4523 0.0071
Ni 0.5477 0.5477 0.9929
I 0.1521 0.1521 0.3291
I 0.2033 0.2033 0.8212
I 0.5000 0.5000 0.5000
I 0.7967 0.7967 0.1788
I 0.8479 0.8479 0.6709

Properties
- E_form (uncorrected) (meV per atom) = -838

=====

Entry 2:
DFT (PBE-GGA) results for CaLaTm2Hg4 after structural relaxation.

abc: 9.3142 9.3142 9.3142
angles: 33.00 33.00 33.00
Element x y z (fractional)
Ca 0.0000 0.0000 0.0000
La 0.5000 0.5000 0.5000
Tm 0.2530 0.2530 0.2530
Tm 0.7470 0.7470 0.7470
Hg 0.1210 0.1210 0.1210
Hg 0.3740 0.3740 0.3740
Hg 0.6260 0.6260 0.6260
Hg 0.8790 0.8790 0.8790

Properties
- formation energy from the elements (kJ/mol of atoms) = -46.90

=====

Entry 3:
DFT (PBE-GGA) results for PmNiSn after structural relaxation.

abc: 7.4077 4.5675 7.6876
angles: 90.00 90.00 90.00
Element x y z (fractional)
Pm 0.0185 0.2500 0.1976
Pm 0.4815 0.7500 0.6976
Pm 0.5185 0.2500 0.3024
Pm 0.9815 0.7500 0.8024
Ni 0.1943 0.7500 0.4160
Ni 0.3057 0.2500 0.9160
Ni 0.6943 0.7500 0.0840
Ni 0.8057 0.2500 0.5840
Sn 0.1848 0.2500 0.5886
Sn 0.3152 0.7500 0.0886
Sn 0.6848 0.2500 0.9114
Sn 0.8152 0.7500 0.4114

Properties
- energy above the lowest structure with this stoichiometry (meV per atom) = 0.0
- formation energy from the elements (kJ/mol of atoms) = -61.99

=====

Entry 4:
DFT (PBE-GGA) results for AcCd10Ni2 after structural relaxation.

abc: 10.0660 7.6777 7.6065
angles: 82.38 49.11 48.50
Element x y z (fractional)
Ac 0.0000 0.0000 0.0000
Cd 0.0000 0.0000 0.5000
Cd 0.0224 0.3442 0.6558
Cd 0.2799 0.4851 0.5149
Cd 0.3442 0.0224 0.9776
Cd 0.4851 0.2799 0.7201
Cd 0.5000 0.5000 0.0000
Cd 0.5149 0.7201 0.2799
Cd 0.6558 0.9776 0.0224
Cd 0.7201 0.5149 0.4851
Cd 0.9776 0.6558 0.3442
Ni 0.0000 0.5000 0.0000
Ni 0.5000 0.0000 0.5000

Properties
- formation energy from the elements (kJ/mol of atoms) = -9.96

=====

Entry 5:
DFT (PBE-GGA) results for Na2UI6 after structural relaxation.

abc: 7.6783 8.2666 14.0787
angles: 90.00 121.71 90.00
Element x y z (fractional)
Na 0.1803 0.1054 0.2332
Na 0.1803 0.3946 0.7332
Na 0.8197 0.6054 0.2668
Na 0.8197 0.8946 0.7668
U 0.5000 0.0000 0.0000
U 0.5000 0.5000 0.5000
I 0.1156 0.1910 0.9296
I 0.1156 0.3090 0.4296
I 0.2524 0.6913 0.9245
I 0.2524 0.8087 0.4245
I 0.4230 0.0496 0.7676
I 0.4230 0.4504 0.2676
I 0.5770 0.5496 0.7324
I 0.5770 0.9504 0.2324
I 0.7476 0.1913 0.5755
I 0.7476 0.3087 0.0755
I 0.8844 0.6910 0.5704
I 0.8844 0.8090 0.0704

Properties
- energy above the lowest structure with this stoichiometry (meV per atom) = 26.2
- E_form (uncorrected) (meV per atom) = -1001

=====

Entry 6:
DFT (PBE-GGA) results for Y3Co3Si8 after structural relaxation.

abc: 7.9124 7.9124 8.3435
angles: 117.33 117.33 29.16
Element x y z (fractional)
Y 0.0000 0.0000 0.0000
Y 0.2867 0.2867 0.3264
Y 0.7133 0.7133 0.6736
Co 0.0000 0.0000 0.5000
Co 0.3467 0.3467 0.9929
Co 0.6533 0.6533 0.0071
Si 0.1097 0.1097 0.3948
Si 0.1786 0.1786 0.9127
Si 0.3682 0.3682 0.7436
Si 0.4746 0.4746 0.2924
Si 0.5254 0.5254 0.7076
Si 0.6318 0.6318 0.2564
Si 0.8214 0.8214 0.0873
Si 0.8903 0.8903 0.6052

Properties
- energy above the lowest structure with this stoichiometry (meV per atom) = 0.0
- E_form (uncorrected) (meV per atom) = -548

=====

Entry 7:
DFT (PBE-GGA) results for TbSm5Zn4 after structural relaxation.

abc: 3.6362 3.6362 19.6208
angles: 90.00 90.00 90.00
Element x y z (fractional)
Tb 0.0000 0.0000 0.0000
Sm 0.5000 0.5000 0.1297
Sm 0.5000 0.5000 0.3149
Sm 0.5000 0.5000 0.5000
Sm 0.5000 0.5000 0.6851
Sm 0.5000 0.5000 0.8703
Zn 0.0000 0.0000 0.2216
Zn 0.0000 0.0000 0.4065
Zn 0.0000 0.0000 0.5935
Zn 0.0000 0.0000 0.7784

Properties
- formation energy from the elements (kJ/mol of atoms) = -24.18

=====

Entry 8:
DFT (PBE-GGA) results for Mn2CoCl after structural relaxation.

abc: 3.0051 3.0051 6.7505
angles: 90.00 90.00 90.00
Element x y z (fractional)
Mn 0.0000 0.0000 0.2081
Mn 0.0000 0.0000 0.7919
Co 0.5000 0.5000 0.0000
Cl 0.5000 0.5000 0.5000

Properties
- energy above the lowest structure with this stoichiometry (meV per atom) = 87.6
- E_form (uncorrected) (meV per atom) = 106

=====

Entry 9:
DFT (PBE-GGA) results for BaCa2PrHg4 after structural relaxation.

abc: 9.6752 9.6752 9.6752
angles: 33.12 33.12 33.12
Element x y z (fractional)
Ba 0.0000 0.0000 0.0000
Ca 0.2485 0.2485 0.2485
Ca 0.7515 0.7515 0.7515
Pr 0.5000 0.5000 0.5000
Hg 0.1288 0.1288 0.1288
Hg 0.3816 0.3816 0.3816
Hg 0.6184 0.6184 0.6184
Hg 0.8712 0.8712 0.8712

Properties
- formation energy from the elements (kJ/mol of atoms) = -49.38

=====

Entry 10:
DFT (PBE-GGA) results for Li4Ga5Ni after structural relaxation.

abc: 2.7907 2.7907 19.5553
angles: 90.00 90.00 90.00
Element x y z (fractional)
Li 0.0000 0.0000 0.1043
Li 0.0000 0.0000 0.3160
Li 0.0000 0.0000 0.6840
Li 0.0000 0.0000 0.8957
Ga 0.5000 0.5000 0.0000
Ga 0.5000 0.5000 0.2096
Ga 0.5000 0.5000 0.4183
Ga 0.5000 0.5000 0.5817
Ga 0.5000 0.5000 0.7904
Ni 0.0000 0.0000 0.5000

Properties
- formation energy from the elements (kJ/mol of atoms) = -27.37

=====

Entry 11:
DFT (PBE-GGA) results for SmTmGe2 after structural relaxation.

abc: 5.9261 5.9261 5.9261
angles: 45.90 45.90 45.90
Element x y z (fractional)
Sm 0.0000 0.0000 0.0000
Tm 0.5000 0.5000 0.5000
Ge 0.2432 0.2432 0.2432
Ge 0.7568 0.7568 0.7568

Properties
- energy above the lowest structure with this stoichiometry (meV per atom) = 156.2
- formation energy from the elements (kJ/mol of atoms) = -66.15

=====

Entry 12:
DFT (PBE-GGA) results for SrLi2GaAg4 after structural relaxation.

abc: 9.6345 9.6345 9.6345
angles: 27.42 27.42 27.42
Element x y z (fractional)
Sr 0.0000 0.0000 0.0000
Li 0.2314 0.2314 0.2314
Li 0.7686 0.7686 0.7686
Ga 0.5000 0.5000 0.5000
Ag 0.1303 0.1303 0.1303
Ag 0.4063 0.4063 0.4063
Ag 0.5937 0.5937 0.5937
Ag 0.8697 0.8697 0.8697

Properties
- formation energy from the elements (kJ/mol of atoms) = -18.19

=====

Entry 13:
DFT (PBE-GGA) results for SrZr5N7 after structural relaxation.

abc: 5.6821 5.6821 19.8687
angles: 90.00 90.00 146.78
Element x y z (fractional)
Sr 0.2181 0.7819 0.7500
Sr 0.7819 0.2181 0.2500
Zr 0.0000 0.0000 0.0000
Zr 0.0000 0.0000 0.5000
Zr 0.2611 0.7389 0.0768
Zr 0.2611 0.7389 0.4232
Zr 0.4730 0.5270 0.6545
Zr 0.4730 0.5270 0.8455
Zr 0.5270 0.4730 0.1545
Zr 0.5270 0.4730 0.3455
Zr 0.7389 0.2611 0.5768
Zr 0.7389 0.2611 0.9232
N 0.0948 0.9052 0.6022
N 0.0948 0.9052 0.8978
N 0.1618 0.8382 0.1647
N 0.1618 0.8382 0.3353
N 0.3646 0.6354 0.5328
N 0.3646 0.6354 0.9672
N 0.4591 0.5409 0.2500
N 0.5409 0.4591 0.7500
N 0.6354 0.3646 0.0328
N 0.6354 0.3646 0.4672
N 0.8382 0.1618 0.6647
N 0.8382 0.1618 0.8353
N 0.9052 0.0948 0.1022
N 0.9052 0.0948 0.3978

Properties
- E_form (uncorrected) (meV per atom) = -1504

=====

Entry 14:
DFT (PBE-GGA) results for Sm2GdHo after structural relaxation.

abc: 11.8745 11.8745 11.8745
angles: 17.41 17.41 17.41
Element x y z (fractional)
Sm 0.2492 0.2492 0.2492
Sm 0.7508 0.7508 0.7508
Gd 0.0000 0.0000 0.0000
Ho 0.5000 0.5000 0.5000

Properties
- energy above the lowest structure with this stoichiometry (meV per atom) = 1.8
- formation energy from the elements (kJ/mol of atoms) = 1.61

=====

Entry 15:
DFT (PBE-GGA) results for SbTe4 after structural relaxation.

abc: 6.1226 6.1226 6.1226
angles: 109.47 109.47 109.47
Element x y z (fractional)
Sb 0.0000 0.0000 0.0000
Te 0.0000 0.0000 0.5000
Te 0.0000 0.5000 0.0000
Te 0.5000 0.0000 0.0000
Te 0.5000 0.5000 0.5000

Properties
- energy above the lowest structure with this stoichiometry (meV per atom) = 167.2
- E_form (uncorrected) (meV per atom) = 337

=====

Entry 16:
DFT (PBE-GGA) results for Ga2H6I after structural relaxation.

abc: 5.2807 5.2807 5.2807
angles: 60.00 60.00 60.00
Element x y z (fractional)
Ga 0.2500 0.2500 0.2500
Ga 0.7500 0.7500 0.7500
H 0.1281 0.1281 0.8719
H 0.1281 0.8719 0.1281
H 0.1281 0.8719 0.8719
H 0.8719 0.1281 0.1281
H 0.8719 0.1281 0.8719
H 0.8719 0.8719 0.1281
I 0.5000 0.5000 0.5000

Properties
- raw total energy (eV per atom) = -2.28

=====

Entry 17:
DFT (PBE-GGA) results for Ac12Pr7Ho after structural relaxation.

abc: 12.2781 12.2781 12.2781
angles: 116.74 116.74 116.74
Element x y z (fractional)
Ac 0.0000 0.4121 0.5879
Ac 0.0000 0.5879 0.4121
Ac 0.0699 0.0699 0.4167
Ac 0.0699 0.4167 0.0699
Ac 0.4121 0.0000 0.5879
Ac 0.4121 0.5879 0.0000
Ac 0.4167 0.0699 0.0699
Ac 0.5833 0.9301 0.9301
Ac 0.5879 0.0000 0.4121
Ac 0.5879 0.4121 0.0000
Ac 0.9301 0.5833 0.9301
Ac 0.9301 0.9301 0.5833
Pr 0.0000 0.0000 0.0000
Pr 0.1458 0.3897 0.3897
Pr 0.3897 0.1458 0.3897
Pr 0.3897 0.3897 0.1458
Pr 0.6103 0.6103 0.8542
Pr 0.6103 0.8542 0.6103
Pr 0.8542 0.6103 0.6103
Ho 0.5000 0.5000 0.5000

Properties
- energy above the lowest structure with this stoichiometry (meV per atom) = 0.0
- formation energy from the elements (kJ/mol of atoms) = 17.06

=====

Entry 18:
DFT (PBE-GGA) results for LiSnTe2 after structural relaxation.

abc: 9.0343 9.0343 9.0343
angles: 28.12 28.12 28.12
Element x y z (fractional)
Li 0.0000 0.0000 0.0000
Sn 0.5000 0.5000 0.5000
Te 0.1007 0.1007 0.1007
Te 0.8993 0.8993 0.8993

Properties
- E_form (uncorrected) (meV per atom) = -315

=====

Entry 19:
DFT (PBE-GGA) results for TbCePr2Y5 after structural relaxation.

abc: 9.9893 9.9893 9.9893
angles: 128.65 128.65 75.57
Element x y z (fractional)
Tb 0.2500 0.2500 0.0000
Tb 0.7500 0.7500 0.0000
Ce 0.2500 0.7500 0.5000
Ce 0.7500 0.2500 0.5000
Pr 0.1206 0.6206 0.7412
Pr 0.3794 0.1206 0.5000
Pr 0.6206 0.8794 0.5000
Pr 0.8794 0.3794 0.2588
Y 0.0000 0.0000 0.0000
Y 0.0629 0.1550 0.5000
Y 0.1550 0.6550 0.0921
Y 0.3450 0.4371 0.5000
Y 0.4371 0.9371 0.0921
Y 0.5000 0.5000 0.0000
Y 0.5629 0.0629 0.9079
Y 0.6550 0.5629 0.5000
Y 0.8450 0.3450 0.9079
Y 0.9371 0.8450 0.5000

Properties
- formation energy from the elements (kJ/mol of atoms) = 24.88

=====

Entry 20:
DFT (PBE-GGA) results for Sr3GeCl after structural relaxation.

abc: 6.1104 6.1104 6.1104
angles: 90.00 90.00 90.00
Element x y z (fractional)
Sr 0.0000 0.0000 0.5000
Sr 0.0000 0.5000 0.0000
Sr 0.5000 0.0000 0.0000
Ge 0.0000 0.0000 0.0000
Cl 0.5000 0.5000 0.5000

Properties
- energy above the lowest structure with this stoichiometry (meV per atom) = 0.0
- E_form (uncorrected) (meV per atom) = -640

=====

Let's list mass density in order: 5.87, 10.27, 8.23, 8.65, 4.57, 4.95, 7.50, 5.56, 8.01, 4.74, 7.88, 5.98, 6.06, 7.91, 5.94, 4.34, 7.58, 4.37, 5.76, 2.70 g cm⁻³.